# 1
CoC4 | PBE | relaxed

The structure in extended XYZ format:
```
5
Lattice="-2.184 2.184 2.184 2.184 -2.184 2.184 2.184 2.184 -2.184" Properties=species:S:1:pos:R:3 pbc="T T T"
Co 0.000 0.000 0.000
C 1.092 1.092 -1.092
C 1.092 -1.092 1.092
C -1.092 1.092 1.092
C 1.092 1.092 1.092
```

Values from the calculation:
Energy above the lowest structure with this stoichiometry (eV per formula unit): 11.098
Uncorrected energy (eV/atom): -5.90
ΔE_f (eV/atom): 2.90
Space-group type: Im-3m
Total magnetic moment (Bohr magnetons per cell): 0.00

# 2
Tb5Sm5Dy | PBE | relaxed

The structure in extended XYZ format:
```
11
Lattice="6.117 0.000 0.000 -3.058 5.297 0.000 0.000 0.000 11.635" Properties=species:S:1:pos:R:3 pbc="T T T"
Tb 0.000 0.000 2.734
Tb 0.000 0.000 8.901
Tb 1.539 0.889 0.000
Tb 4.578 0.889 0.000
Tb 3.058 3.520 0.000
Sm 0.000 0.000 5.817
Sm 0.000 3.531 2.119
Sm 0.000 3.531 9.516
Sm 3.058 1.766 4.008
Sm 3.058 1.766 7.626
Dy 0.000 3.531 5.817
```

Values from the calculation:
Energy above the lowest structure with this stoichiometry (eV per formula unit): 1.799
Uncorrected energy (eV/atom): -4.36
ΔE_f (eV/atom): 0.31
Space-group type: P-6m2
Total magnetic moment (Bohr magnetons per cell): 0.00

# 3
K2CeAgSe4 | PBE | relaxed

The structure in extended XYZ format:
```
16
Lattice="6.066 -6.013 0.000 6.066 6.013 0.000 -5.748 0.000 6.552" Properties=species:S:1:pos:R:3 pbc="T T T"
K 0.000 0.000 0.000
K -2.874 0.000 3.276
K 3.033 3.006 0.000
K 0.159 -3.006 3.276
Ce 6.066 0.000 0.000
Ce 3.191 0.000 3.276
Ag 0.159 3.006 3.276
Ag 3.033 -3.006 0.000
Se 2.867 2.801 3.213
Se 0.321 0.238 3.588
Se 6.390 2.801 0.063
Se 3.195 -0.238 0.312
Se 3.188 0.238 6.239
Se -0.007 -2.801 6.489
Se 6.062 -0.238 2.964
Se 3.516 -2.801 3.339
```

Values from the calculation:
Uncorrected energy (eV/atom): -4.16
ΔE_f (raw) (eV per atom): -1.042
Space-group type: C2/c
Total magnetic moment (Bohr magnetons per cell): 0.00

# 4
ZnHgBr2 | PBE | relaxed

The structure in extended XYZ format:
```
8
Lattice="3.241 -7.281 0.000 3.241 7.281 0.000 -3.229 0.000 7.259" Properties=species:S:1:pos:R:3 pbc="T T T"
Zn 0.000 0.000 0.000
Zn 0.012 0.000 7.259
Hg 1.640 3.640 3.626
Hg 1.640 -3.640 3.626
Br -1.608 0.000 5.411
Br 1.622 0.000 1.848
Br 1.632 1.849 7.257
Br 1.632 -1.849 7.257
```

Values from the calculation:
Energy above the lowest structure with this stoichiometry (eV per formula unit): 0.017
Uncorrected energy (eV/atom): -1.85
ΔE_f (raw) (eV per atom): -0.623
Space-group type: Cm
Total magnetic moment (Bohr magnetons per cell): 0.00

# 5
MgCu2P | PBE | relaxed

The structure in extended XYZ format:
```
4
Lattice="-1.885 1.885 3.904 1.885 -1.885 3.904 1.885 1.885 -3.904" Properties=species:S:1:pos:R:3 pbc="T T T"
Mg 0.000 0.000 0.000
Cu 0.000 0.000 3.904
Cu 0.000 1.885 1.952
P 1.885 0.000 1.952
```

Values from the calculation:
Uncorrected energy (eV/atom): -3.83
ΔE_f (eV/atom): -0.04
Space-group type: I-4m2
Total magnetic moment (Bohr magnetons per cell): 0.00

# 6
LaErZnPd | PBE | relaxed

The structure in extended XYZ format:
```
4
Lattice="4.592 0.000 0.000 0.000 1.966 5.442 0.000 -1.966 5.442" Properties=species:S:1:pos:R:3 pbc="T T T"
La 0.000 0.000 0.000
Er 2.296 0.000 3.081
Zn 2.296 0.000 6.255
Pd 0.000 0.000 7.854
```

Values from the calculation:
Energy above the lowest structure with this stoichiometry (eV per formula unit): 0.000
Uncorrected energy (eV/atom): -4.55
ΔE_f (eV/atom): -0.56
Space-group type: Amm2
Total magnetic moment (Bohr magnetons per cell): 0.00